VASP calculation (PBE-GGA) on an optimized crystal structure of BeW4Au.

Lattice parameters (Å, degrees): 5.2619 5.2619 5.2619 60.00 60.00 60.00
With the nearest neighbours (Å) after each atom.
Positions (direct):
W 0.8776 0.3741 0.3741  6 W 2.61-2.65
W 0.3741 0.3741 0.8776  6 W 2.61-2.65
W 0.3741 0.3741 0.3741  6 W 2.61-2.65
W 0.3741 0.8776 0.3741  6 W 2.61-2.65
Au 0.7500 0.7500 0.7500  12 W 3.09, 4 Be 3.22
Be 0.0000 0.0000 0.0000  12 W 3.08, 4 Au 3.22

Calculated values
Energy of formation: 865 meV/atom
Magnetization: 0.00 μB/cell

VASP calculation (PBE-GGA) on an optimized crystal structure of BeW2Au.

Lattice parameters (Å, degrees): 4.4238 4.4238 4.4238 60.00 60.00 60.00
With the nearest neighbours (Å) after each atom.
Positions (direct):
Be 0.7500 0.7500 0.7500  4 W 2.71, 4 Au 2.71
Au 0.5000 0.5000 0.5000  4 Be 2.71, 4 W 2.71
W 0.0000 0.0000 0.0000  4 W 2.71, 4 Be 2.71
W 0.2500 0.2500 0.2500  4 W 2.71, 4 Au 2.71

Calculated values
Energy of formation: 538 meV/atom
Magnetization: 0.00 μB/cell

VASP calculation (PBE-GGA) on an optimized crystal structure of BeWAu2.

Lattice parameters (Å, degrees): 4.7346 4.7346 4.7346 128.92 128.92 75.14
With the nearest neighbours (Å) after each atom.
Positions (direct):
Be 0.5000 0.5000 0.0000  4 W 2.77, 8 Au 2.77-2.89
Au 0.2500 0.7500 0.5000  4 Au 2.77, 4 Be 2.77, 4 W 2.89
Au 0.0000 0.0000 0.0000  4 W 2.77, 4 Au 2.77, 4 Be 2.89
W 0.7500 0.2500 0.5000  4 Be 2.77, 8 Au 2.77-2.89

Calculated values
Energy of formation: 597 meV/atom
Magnetization: 1.43 μB/cell

VASP calculation (PBE-GGA) on an optimized crystal structure of BeWAu2.

Lattice parameters (Å, degrees): 8.8689 8.8689 8.8689 18.48 18.48 18.48
With the nearest neighbours (Å) after each atom.
Positions (direct):
Au 0.5100 0.5100 0.5100  3 Be 2.53
Au 0.9900 0.9900 0.9900  3 Be 2.53
W 0.7500 0.7500 0.7500  6 W 2.85, 6 Au 2.94
Be 0.2500 0.2500 0.2500  6 Au 2.53

Calculated values
Energy of formation: 296 meV/atom
Magnetization: 0.00 μB/cell

VASP calculation (PBE-GGA) on an optimized crystal structure of BeWAu2.

Lattice parameters (Å, degrees): 8.8228 8.8228 8.8228 18.75 18.75 18.75
With the nearest neighbours (Å) after each atom.
Positions (direct):
W 0.7584 0.7584 0.7584  3 Be 2.58, 3 Au 2.86, 6 W 2.87
Au 0.2386 0.2386 0.2386  3 Be 2.48
Au 0.0021 0.0021 0.0021  3 W 2.86, 9 Au 2.87-3.01
Be 0.5008 0.5008 0.5008  3 Au 2.48, 3 W 2.58

Calculated values
Energy of formation: 278 meV/atom
Magnetization: 0.00 μB/cell

VASP calculation (PBE-GGA) on an optimized crystal structure of BeWAu2.

Lattice parameters (Å, degrees): 4.1298 2.7942 5.5172 75.26 90.00 90.00
With the nearest neighbours (Å) after each atom.
Positions (direct):
Be 0.5000 0.2500 0.2500  4 Au 2.52, 2 W 2.76, 2 Be 2.79
W 0.5000 0.7500 0.7500  2 Be 2.76, 2 W 2.79, 8 Au 2.86-2.87
Au 0.0000 0.1161 0.0141  2 Be 2.52, 3 Au 2.79-2.82
Au 0.0000 0.3839 0.4859  2 Be 2.52, 3 Au 2.79-2.82

Calculated values
Energy of formation: 372 meV/atom
Magnetization: 0.00 μB/cell

What is the magnetization in the second record? 0.00 μB/cell

Which formula does entry 6 have? BeWAu2

The lowest energy of formation belongs to which entry? number 5